Version P
Pm2TmGa3: optimized geometry, PBE.

Unit cell a=3.606 b=3.606 c=10.956 alpha=90.00 beta=90.00 gamma=90.00
Element x y z (fractional)
Pm (0.000, 0.000, 0.172)
Pm (0.000, 0.000, 0.828)
Tm (0.000, 0.000, 0.500)
Ga (0.500, 0.500, 0.000)
Ga (0.500, 0.500, 0.348)
Ga (0.500, 0.500, 0.652)

=====

Version Q
Pm2TmGa3: optimized geometry, PBE.

Unit cell a=5.113 b=5.113 c=12.595 alpha=90.00 beta=90.00 gamma=120.00
Element x y z (fractional)
Pm (0.000, 0.000, 0.000)
Pm (0.000, 0.000, 0.500)
Pm (0.333, 0.667, 0.172)
Pm (0.667, 0.333, 0.828)
Tm (0.333, 0.667, 0.666)
Tm (0.667, 0.333, 0.334)
Ga (0.000, 0.000, 0.254)
Ga (0.000, 0.000, 0.746)
Ga (0.333, 0.667, 0.419)
Ga (0.333, 0.667, 0.914)
Ga (0.667, 0.333, 0.086)
Ga (0.667, 0.333, 0.581)

=====

The relative energies come out as version P 0.0; version Q 0.8, with values in kJ/mol of atoms.

=====

Version P
Pm2Tm3Ga4: optimized geometry, PBE.

Unit cell a=8.635 b=8.635 c=8.469 alpha=90.00 beta=90.00 gamma=133.63
Element x y z (fractional)
Pm (0.107, 0.893, 0.918)
Pm (0.393, 0.607, 0.418)
Pm (0.607, 0.393, 0.582)
Pm (0.893, 0.107, 0.082)
Tm (0.000, 0.000, 0.500)
Tm (0.034, 0.466, 0.750)
Tm (0.466, 0.034, 0.250)
Tm (0.500, 0.500, 0.000)
Tm (0.534, 0.966, 0.750)
Tm (0.966, 0.534, 0.250)
Ga (0.184, 0.816, 0.543)
Ga (0.215, 0.285, 0.750)
Ga (0.285, 0.215, 0.250)
Ga (0.316, 0.684, 0.043)
Ga (0.684, 0.316, 0.957)
Ga (0.715, 0.785, 0.750)
Ga (0.785, 0.715, 0.250)
Ga (0.816, 0.184, 0.457)

=====

Version Q
Pm2Tm3Ga4: optimized geometry, PBE.

Unit cell a=7.900 b=7.918 c=7.543 alpha=90.00 beta=107.08 gamma=90.00
Element x y z (fractional)
Pm (0.192, 0.180, 0.075)
Pm (0.192, 0.320, 0.575)
Pm (0.808, 0.680, 0.425)
Pm (0.808, 0.820, 0.925)
Tm (0.243, 0.676, 0.250)
Tm (0.243, 0.824, 0.750)
Tm (0.500, 0.000, 0.500)
Tm (0.500, 0.500, 0.000)
Tm (0.757, 0.176, 0.250)
Tm (0.757, 0.324, 0.750)
Ga (0.080, 0.530, 0.867)
Ga (0.080, 0.970, 0.367)
Ga (0.494, 0.120, 0.877)
Ga (0.494, 0.380, 0.377)
Ga (0.506, 0.620, 0.623)
Ga (0.506, 0.880, 0.123)
Ga (0.920, 0.030, 0.633)
Ga (0.920, 0.470, 0.133)

=====

The relative energies come out as version P 15.4; version Q 0.0, with values in kJ/mol of atoms.

=====

Version P
Pm2TmGa: optimized geometry, PBE.

Unit cell a=3.584 b=3.584 c=8.969 alpha=90.00 beta=90.00 gamma=90.00
Element x y z (fractional)
Pm (0.000, 0.000, 0.213)
Pm (0.000, 0.000, 0.787)
Tm (0.500, 0.500, 0.500)
Ga (0.500, 0.500, 0.000)

=====

Version Q
Pm2TmGa: optimized geometry, PBE.

Unit cell a=5.385 b=5.385 c=5.385 alpha=60.00 beta=60.00 gamma=60.00
Element x y z (fractional)
Pm (0.250, 0.250, 0.250)
Pm (0.750, 0.750, 0.750)
Tm (0.000, 0.000, 0.000)
Ga (0.500, 0.500, 0.500)

=====

The relative energies come out as version P 0.0; version Q 11.9, with values in kJ/mol of atoms.

=====

Version P
PmTm2Ga6: optimized geometry, PBE.

Unit cell a=7.760 b=7.760 c=7.760 alpha=147.80 beta=126.06 gamma=64.23
Element x y z (fractional)
Pm (0.000, 0.000, 0.000)
Tm (0.375, 0.875, 0.500)
Tm (0.625, 0.125, 0.500)
Ga (0.009, 0.314, 0.695)
Ga (0.316, 0.500, 0.816)
Ga (0.381, 0.686, 0.695)
Ga (0.619, 0.314, 0.305)
Ga (0.684, 0.500, 0.184)
Ga (0.991, 0.686, 0.305)

=====

Version Q
PmTm2Ga6: optimized geometry, PBE.

Unit cell a=7.293 b=7.293 c=4.121 alpha=90.00 beta=90.00 gamma=120.00
Element x y z (fractional)
Pm (0.000, 0.000, 0.000)
Tm (0.333, 0.667, 0.000)
Tm (0.667, 0.333, 0.000)
Ga (0.000, 0.335, 0.500)
Ga (0.000, 0.665, 0.500)
Ga (0.335, 0.000, 0.500)
Ga (0.335, 0.335, 0.500)
Ga (0.665, 0.000, 0.500)
Ga (0.665, 0.665, 0.500)

=====

The relative energies come out as version P 12.6; version Q 0.0, with values in kJ/mol of atoms.

=====

Version P
Pm2TmGa6: optimized geometry, PBE.

Unit cell a=7.952 b=7.952 c=7.952 alpha=148.16 beta=127.53 gamma=62.70
Element x y z (fractional)
Pm (0.128, 0.128, 0.000)
Pm (0.872, 0.872, 0.000)
Tm (0.500, 0.000, 0.500)
Ga (0.131, 0.320, 0.811)
Ga (0.195, 0.500, 0.695)
Ga (0.491, 0.680, 0.811)
Ga (0.509, 0.320, 0.189)
Ga (0.805, 0.500, 0.305)
Ga (0.869, 0.680, 0.189)

=====

Version Q
Pm2TmGa6: optimized geometry, PBE.

Unit cell a=7.338 b=7.338 c=4.195 alpha=90.00 beta=90.00 gamma=120.00
Element x y z (fractional)
Pm (0.333, 0.667, 0.000)
Pm (0.667, 0.333, 0.000)
Tm (0.000, 0.000, 0.000)
Ga (0.000, 0.332, 0.500)
Ga (0.000, 0.668, 0.500)
Ga (0.332, 0.000, 0.500)
Ga (0.332, 0.332, 0.500)
Ga (0.668, 0.000, 0.500)
Ga (0.668, 0.668, 0.500)

=====

The relative energies come out as version P 21.8; version Q 0.0, with values in kJ/mol of atoms.

=====

Version P
PmYGa: optimized geometry, PBE.

Unit cell a=8.512 b=8.512 c=5.281 alpha=90.05 beta=90.05 gamma=25.32
Element x y z (fractional)
Pm (0.075, 0.075, 0.249)
Pm (0.925, 0.925, 0.751)
Y (0.222, 0.222, 0.750)
Y (0.778, 0.778, 0.250)
Ga (0.420, 0.420, 0.252)
Ga (0.580, 0.580, 0.748)

=====

Version Q
PmYGa: optimized geometry, PBE.

Unit cell a=5.031 b=5.031 c=5.031 alpha=60.00 beta=60.00 gamma=60.00
Element x y z (fractional)
Pm (0.000, 0.000, 0.000)
Y (0.500, 0.500, 0.500)
Ga (0.250, 0.250, 0.250)

=====

Version R
PmYGa: optimized geometry, PBE.

Unit cell a=4.510 b=4.510 c=8.113 alpha=90.00 beta=90.00 gamma=90.00
Element x y z (fractional)
Pm (0.250, 0.750, 0.000)
Pm (0.750, 0.250, 0.000)
Y (0.250, 0.250, 0.366)
Y (0.750, 0.750, 0.634)
Ga (0.250, 0.250, 0.729)
Ga (0.750, 0.750, 0.271)

=====

Version S
PmYGa: optimized geometry, PBE.

Unit cell a=7.118 b=7.118 c=7.118 alpha=151.37 beta=151.37 gamma=40.93
Element x y z (fractional)
Pm (0.000, 0.000, 0.000)
Y (0.288, 0.288, 0.000)
Ga (0.649, 0.649, 0.000)

=====

The relative energies come out as version P 0.0; version Q 12.7; version R 4.2; version S 2.0, with values in kJ/mol of atoms.

=====

Version P
PmYGa: optimized geometry, PBE.

Unit cell a=5.276 b=5.276 c=6.602 alpha=90.00 beta=90.00 gamma=120.00
Element x y z (fractional)
Pm (0.000, 0.000, 0.000)
Pm (0.000, 0.000, 0.500)
Y (0.333, 0.667, 0.250)
Y (0.667, 0.333, 0.750)
Ga (0.333, 0.667, 0.750)
Ga (0.667, 0.333, 0.250)

=====

Version Q
PmYGa: optimized geometry, PBE.

Unit cell a=5.015 b=5.015 c=3.759 alpha=90.00 beta=90.00 gamma=120.00
Element x y z (fractional)
Pm (0.000, 0.000, 0.000)
Y (0.667, 0.333, 0.540)
Ga (0.333, 0.667, 0.324)

=====

The relative energies come out as version P 0.0; version Q 9.7, with values in kJ/mol of atoms.

=====

Version P
Pm3YGa2: optimized geometry, PBE.

Unit cell a=5.107 b=9.633 c=6.661 alpha=90.00 beta=90.00 gamma=90.00
Element x y z (fractional)
Pm (0.000, 0.049, 0.000)
Pm (0.000, 0.331, 0.340)
Pm (0.000, 0.669, 0.840)
Pm (0.000, 0.951, 0.500)
Pm (0.500, 0.176, 0.705)
Pm (0.500, 0.824, 0.205)
Y (0.500, 0.447, 0.043)
Y (0.500, 0.553, 0.543)
Ga (0.000, 0.353, 0.815)
Ga (0.000, 0.647, 0.315)
Ga (0.500, 0.148, 0.232)
Ga (0.500, 0.852, 0.732)

=====

Version Q
Pm3YGa2: optimized geometry, PBE.

Unit cell a=9.043 b=9.043 c=9.281 alpha=113.26 beta=113.26 gamma=29.17
Element x y z (fractional)
Pm (0.044, 0.044, 0.189)
Pm (0.320, 0.320, 0.571)
Pm (0.349, 0.349, 0.022)
Pm (0.651, 0.651, 0.978)
Pm (0.680, 0.680, 0.429)
Pm (0.956, 0.956, 0.811)
Y (0.117, 0.117, 0.640)
Y (0.883, 0.883, 0.360)
Ga (0.233, 0.233, 0.215)
Ga (0.496, 0.496, 0.358)
Ga (0.504, 0.504, 0.642)
Ga (0.767, 0.767, 0.785)

=====

The relative energies come out as version P 0.0; version Q 6.2, with values in kJ/mol of atoms.

=====

Version P
PmY3Ga2: optimized geometry, PBE.

Unit cell a=4.982 b=9.594 c=6.643 alpha=90.00 beta=90.00 gamma=90.00
Element x y z (fractional)
Pm (0.000, 0.050, 0.000)
Pm (0.000, 0.950, 0.500)
Y (0.000, 0.324, 0.630)
Y (0.000, 0.676, 0.130)
Y (0.500, 0.184, 0.291)
Y (0.500, 0.446, 0.925)
Y (0.500, 0.554, 0.425)
Y (0.500, 0.816, 0.791)
Ga (0.000, 0.362, 0.171)
Ga (0.000, 0.638, 0.671)
Ga (0.500, 0.141, 0.749)
Ga (0.500, 0.859, 0.249)

=====

Version Q
PmY3Ga2: optimized geometry, PBE.

Unit cell a=8.496 b=8.496 c=8.902 alpha=115.68 beta=115.68 gamma=34.97
Element x y z (fractional)
Pm (0.129, 0.129, 0.189)
Pm (0.871, 0.871, 0.811)
Y (0.062, 0.062, 0.717)
Y (0.312, 0.312, 0.008)
Y (0.375, 0.375, 0.494)
Y (0.625, 0.625, 0.506)
Y (0.688, 0.688, 0.992)
Y (0.938, 0.938, 0.283)
Ga (0.225, 0.225, 0.620)
Ga (0.488, 0.488, 0.851)
Ga (0.512, 0.512, 0.149)
Ga (0.775, 0.775, 0.380)

=====

The relative energies come out as version P 0.0; version Q 8.7, with values in kJ/mol of atoms.

=====

Version P
PmYGa4: optimized geometry, PBE.

Unit cell a=4.239 b=4.239 c=8.382 alpha=90.00 beta=90.00 gamma=120.00
Element x y z (fractional)
Pm (0.000, 0.000, 0.000)
Y (0.000, 0.000, 0.500)
Ga (0.333, 0.667, 0.255)
Ga (0.333, 0.667, 0.745)
Ga (0.667, 0.333, 0.255)
Ga (0.667, 0.333, 0.745)

=====

Version Q
PmYGa4: optimized geometry, PBE.

Unit cell a=5.565 b=5.565 c=5.565 alpha=60.00 beta=60.00 gamma=60.00
Element x y z (fractional)
Pm (0.000, 0.000, 0.000)
Y (0.250, 0.250, 0.250)
Ga (0.125, 0.625, 0.625)
Ga (0.625, 0.125, 0.625)
Ga (0.625, 0.625, 0.125)
Ga (0.625, 0.625, 0.625)

=====

Version R
PmYGa4: optimized geometry, PBE.

Unit cell a=7.963 b=7.963 c=7.963 alpha=149.36 beta=149.36 gamma=43.89
Element x y z (fractional)
Pm (0.000, 0.000, 0.000)
Y (0.750, 0.250, 0.500)
Ga (0.168, 0.668, 0.500)
Ga (0.332, 0.832, 0.500)
Ga (0.417, 0.417, 0.000)
Ga (0.583, 0.583, 0.000)

=====

The relative energies come out as version P 0.0; version Q 10.7; version R 1.1, with values in kJ/mol of atoms.